This record from Alexandria via LeMat-Bulk describes BaHfSi2As after structural relaxation. The functional is PBE.

Lattice parameters (Å, degrees): 5.4106 5.5885 5.4106 90.00 90.00 90.00
With the nearest neighbours (Å) after each atom.
Atoms (fractional coordinates):
Si1 0.0000 0.0000 0.5000  2 Ba 2.71
Ba1 0.0000 0.0000 0.0000  4 Si 2.71, 2 Hf 2.79
Hf1 0.0000 0.5000 0.0000  2 Ba 2.79
As1 0.5000 0.5000 0.5000  4 Hf 3.83, 8 Si 3.89
Si2 0.5000 0.0000 0.0000  2 Ba 2.71

Space group: P4/mmm, No. 123
Formation energy from raw total energies, eV per atom: 2.12



This record from Alexandria via LeMat-Bulk describes AcEuDyAl after structural relaxation. The functional is PBE.

Lattice parameters (Å, degrees): 5.6185 5.6185 5.6185 60.00 60.00 60.00
With the nearest neighbours (Å) after each atom.
Atoms (fractional coordinates):
Eu1 0.5000 0.5000 0.5000  4 Ac 3.44, 4 Al 3.44
Dy1 0.0000 0.0000 0.0000  4 Ac 3.44, 4 Al 3.44
Ac1 0.7500 0.7500 0.7500  4 Eu 3.44, 4 Dy 3.44
Al1 0.2500 0.2500 0.2500  4 Dy 3.44, 4 Eu 3.44

Space group: F-43m, No. 216
ΔH_f (0 K), meV/atom: 101



This record from Alexandria via LeMat-Bulk describes SbAsO5 after structural relaxation. The functional is PBE.

Lattice parameters (Å, degrees): 4.9915 8.9651 9.3180 90.00 90.00 90.00
With the nearest neighbours (Å) after each atom.
Atoms (fractional coordinates):
O1 0.0682 0.7279 0.5616  1 As 1.72
O2 0.9688 0.4598 0.9981  1 As 1.73
O3 0.6999 0.7507 0.7826  1 As 1.73
O4 0.4318 0.2279 0.4384  1 As 1.72
O5 0.6709 0.0746 0.7179  2 Sb 1.95-1.96
As1 0.8604 0.2809 0.0367  4 O 1.71-1.73
O6 0.9318 0.7721 0.0616  1 As 1.72
O7 0.4688 0.5402 0.5019  1 As 1.73
Sb1 0.6297 0.4015 0.3515  6 O 1.95-2.04
As2 0.6396 0.7809 0.9633  4 O 1.71-1.73
O8 0.1709 0.9254 0.7821  2 Sb 1.95-1.96
Sb2 0.1297 0.5985 0.1485  6 O 1.95-2.04
O9 0.0312 0.0402 0.4981  1 As 1.73
Sb3 0.8703 0.9015 0.6485  6 O 1.95-2.04
As3 0.3604 0.7191 0.4633  4 O 1.71-1.73
O10 0.3291 0.4254 0.2179  2 Sb 1.95-1.96
O11 0.3001 0.7493 0.2826  1 As 1.73
O12 0.4193 0.6397 0.0018  1 As 1.71
O13 0.1999 0.2493 0.7174  1 As 1.73
O14 0.0807 0.1397 0.9982  1 As 1.71
O15 0.8001 0.2507 0.2174  1 As 1.73
O16 0.9193 0.3603 0.4982  1 As 1.71
O17 0.5682 0.2721 0.9384  1 As 1.72
O18 0.5312 0.9598 0.0019  1 As 1.73
O19 0.5807 0.8603 0.5018  1 As 1.71
O20 0.8291 0.5746 0.2821  2 Sb 1.95-1.96
As4 0.1396 0.2191 0.5367  4 O 1.71-1.73
Sb4 0.3703 0.0985 0.8515  6 O 1.95-2.04

Energy relative to the lowest polymorph listed for this composition, kJ/mol of formula units: 0
Space group: P2_12_12_1, No. 19
Formation energy from raw total energies, eV per atom: -1.23



This record from Alexandria via LeMat-Bulk describes Ba3TaS after structural relaxation. The functional is PBE.

Lattice parameters (Å, degrees): 6.0562 6.0562 6.0562 90.00 90.00 90.00
With the nearest neighbours (Å) after each atom.
Atoms (fractional coordinates):
Ta1 0.5000 0.5000 0.5000  12 Ba 4.28
Ba1 0.0000 0.5000 0.0000  2 S 3.03
Ba2 0.0000 0.0000 0.5000  2 S 3.03
Ba3 0.5000 0.0000 0.0000  2 S 3.03
S1 0.0000 0.0000 0.0000  6 Ba 3.03

Energy relative to the lowest polymorph listed for this composition, kJ/mol of formula units: 0
Space group: Pm-3m, No. 221
Formation energy from raw total energies, eV per atom: 0.15